Density functional theory data (PBE) for crystalline BeAgOs2 at its relaxed geometry.

The formation energy comes out at 0.431 eV per atom. The magnetic moment is 0.0 μB per formula unit. The crystal system is orthorhombic.

The space group is Cmmm (No. 65) and the conventional cell measures 2.7840, 4.5517 and 8.8751 Å, with angles of 90.00, 90.00 and 90.00 degrees. Symmetry generates all atoms from Be at (0.0000, 0.0000, 0.0000), Ag at (0.0000, 0.0000, 0.5000) and Os at (0.0000, 0.5000, 0.2151).


Density functional theory data (PBE) for crystalline SmNpCo2 at its relaxed geometry.

The formation energy comes out at -0.079 eV per atom. The magnetic moment is 2.3 μB per formula unit. The crystal system is trigonal.

The space group is R-3m (No. 166, hexagonal axes) and the conventional cell measures 4.1832, 4.1832 and 15.3954 Å, with angles of 90.00, 90.00 and 120.00 degrees. Symmetry generates all atoms from Sm at (0.0000, 0.0000, 0.0000), Np at (0.0000, 0.0000, 0.5000) and Co at (0.0000, 0.0000, 0.2046).